1.
Material: TmSnPt2
Method: DFT, PBE
State: optimized geometry

For the final energy, the calculation gives -24.67 eV per formula unit. For the volume, the calculation gives 20.09 Å³ per atom.

The space group is P6_3/mmc (No. 194) and the conventional cell measures 4.5410, 4.5410 and 8.9983 Å, with angles of 90.00, 90.00 and 120.00 degrees. The distinct sites, in fractional coordinates, are Tm at (0.3333, 0.6667, 0.2500), Sn at (0.0000, 0.0000, 0.0000) and Pt at (0.3333, 0.6667, 0.5907).

=====

2.
Material: Ge2PtAu2
Method: DFT, PBE
State: optimized geometry

For the final energy, the calculation gives -20.59 eV per formula unit. For the volume, the calculation gives 19.30 Å³ per atom.

The space group is I4/mmm (No. 139) and the conventional cell measures 3.744, 3.744 and 13.763 Å, with angles of 90.00, 90.00 and 90.00 degrees. The distinct sites, in fractional coordinates, are Ge at (0.000, 0.000, 0.093), Pt at (0.000, 0.000, 0.500) and Au at (0.000, 0.500, 0.250).

=====

3.
Material: NbInRe
Method: DFT, PBE
State: optimized geometry

For the final energy, the calculation gives -22.64 eV per formula unit. For the volume, the calculation gives 21.30 Å³ per atom.

The space group is F-43m (No. 216) and the conventional cell measures 6.346, 6.346 and 6.346 Å, with angles of 90.00, 90.00 and 90.00 degrees. The distinct sites, in fractional coordinates, are Nb at (0.000, 0.000, 0.000), In at (0.250, 0.250, 0.750) and Re at (0.250, 0.250, 0.250).